The following is a PBE calculation of a geometry-optimized NpVTcMo structure, from the Alexandria database.

Lattice parameters (Å, degrees): 6.396 6.396 6.396 90.00 90.00 90.00
Space group F-43m (No. 216)
Unique sites:
Np: 0.000 0.000 0.000 (multiplicity 4)
V: 0.000 0.000 0.500 (multiplicity 4)
Tc: 0.250 0.250 0.750 (multiplicity 4)
Mo: 0.250 0.250 0.250 (multiplicity 4)

Electronic total energy   -10.68 eV/atom


The following is a PBE calculation of a geometry-optimized NpTcMoW structure, from the Alexandria database.

Lattice parameters (Å, degrees): 6.498 6.498 6.498 90.00 90.00 90.00
Space group F-43m (No. 216)
Unique sites:
Np: 0.000 0.000 0.000 (multiplicity 4)
Tc: 0.250 0.250 0.250 (multiplicity 4)
Mo: 0.250 0.250 0.750 (multiplicity 4)
W: 0.000 0.000 0.500 (multiplicity 4)

Electronic total energy   -11.55 eV/atom


The following is a PBE calculation of a geometry-optimized NpTe2Mo structure, from the Alexandria database.

Lattice parameters (Å, degrees): 4.4664 4.4664 26.9204 90.00 90.00 120.00
Space group R-3m (No. 166, hexagonal axes)
Unique sites:
Np: 0.0000 0.0000 0.0000 (multiplicity 3)
Te: 0.0000 0.0000 0.3980 (multiplicity 6)
Mo: 0.0000 0.0000 0.5000 (multiplicity 3)

Formation energy (no corrections)   0.56 eV/atom


The following is a PBE calculation of a geometry-optimized NpTeMo structure, from the Alexandria database.

Lattice parameters (Å, degrees): 3.444 5.652 7.038 95.44 90.02 107.67
Space group P-1 (No. 2)
Unique sites:
Np: 0.225 0.450 0.112 (multiplicity 2)
Te: 0.040 0.078 0.745 (multiplicity 2)
Mo: 0.339 0.678 0.507 (multiplicity 2)

Formation energy (no corrections)   0.09 eV/atom


The following is a PBE calculation of a geometry-optimized NpTiMo structure, from the Alexandria database.

Lattice parameters (Å, degrees): 4.574 9.674 4.717 90.00 90.00 90.00
Space group Cmcm (No. 63)
Unique sites:
Np: 0.000 0.063 0.250 (multiplicity 4)
Ti: 0.000 0.257 0.750 (multiplicity 4)
Mo: 0.000 0.415 0.250 (multiplicity 4)

Electronic total energy   -10.37 eV/atom


The following is a PBE calculation of a geometry-optimized NpTi2Mo structure, from the Alexandria database.

Lattice parameters (Å, degrees): 2.9592 2.9592 28.9226 90.00 90.00 120.00
Space group R-3m (No. 166, hexagonal axes)
Unique sites:
Np: 0.0000 0.0000 0.0000 (multiplicity 3)
Ti: 0.0000 0.0000 0.0977 (multiplicity 6)
Mo: 0.0000 0.0000 0.5000 (multiplicity 3)

Electronic total energy   -9.54 eV/atom


The following is a PBE calculation of a geometry-optimized NpTiVMo structure, from the Alexandria database.

Lattice parameters (Å, degrees): 6.411 6.411 6.411 90.00 90.00 90.00
Space group F-43m (No. 216)
Unique sites:
Np: 0.000 0.000 0.000 (multiplicity 4)
Ti: 0.250 0.250 0.250 (multiplicity 4)
V: 0.250 0.250 0.750 (multiplicity 4)
Mo: 0.000 0.000 0.500 (multiplicity 4)

Electronic total energy   -9.92 eV/atom


The following is a PBE calculation of a geometry-optimized NpUMo structure, from the Alexandria database.

Lattice parameters (Å, degrees): 3.363 3.363 9.710 90.00 90.00 90.00
Space group I4mm (No. 107)
Unique sites:
Np: 0.000 0.000 0.000 (multiplicity 2)
U: 0.000 0.000 0.366 (multiplicity 2)
Mo: 0.000 0.000 0.680 (multiplicity 2)

Polymorph energy (0 for the lowest one)   0.0 meV per atom


The following is a PBE calculation of a geometry-optimized NpUMo structure, from the Alexandria database.

Lattice parameters (Å, degrees): 4.921 14.356 3.403 90.00 90.00 90.00
Space group Pnnm (No. 58)
Unique sites:
Np: 0.045 0.187 0.000 (multiplicity 4)
U: 0.199 0.362 0.000 (multiplicity 4)
Mo: 0.249 0.536 0.500 (multiplicity 4)

Polymorph energy (0 for the lowest one)   287.9 meV per atom


The following is a PBE calculation of a geometry-optimized NpV2Mo structure, from the Alexandria database.

Lattice parameters (Å, degrees): 3.061 3.061 6.912 90.00 90.00 90.00
Space group P4/mmm (No. 123)
Unique sites:
Np: 0.000 0.000 0.000 (multiplicity 1)
V: 0.500 0.500 0.280 (multiplicity 2)
Mo: 0.000 0.000 0.500 (multiplicity 1)

Polymorph energy (0 for the lowest one)   0.0 meV per atom


The following is a PBE calculation of a geometry-optimized NpV2Mo structure, from the Alexandria database.

Lattice parameters (Å, degrees): 2.9118 2.9118 26.4738 90.00 90.00 120.00
Space group R-3m (No. 166, hexagonal axes)
Unique sites:
Np: 0.0000 0.0000 0.0000 (multiplicity 3)
V: 0.0000 0.0000 0.2408 (multiplicity 6)
Mo: 0.0000 0.0000 0.5000 (multiplicity 3)

Polymorph energy (0 for the lowest one)   146.4 meV per atom


The following is a PBE calculation of a geometry-optimized NpV2Mo structure, from the Alexandria database.

Lattice parameters (Å, degrees): 4.538 4.538 3.061 90.00 90.00 90.00
Space group P4/mmm (No. 123)
Unique sites:
Np: 0.000 0.000 0.000 (multiplicity 1)
V: 0.000 0.500 0.500 (multiplicity 2)
Mo: 0.500 0.500 0.000 (multiplicity 1)

Polymorph energy (0 for the lowest one)   52.9 meV per atom